1.
VASP calculation (PBE-GGA) on a relaxed structure of Ho2MnZn12Cu3.

Output
symmetry = R-3m, No. 166
energy of formation = 0.01 eV/atom

Cell and atoms, written as POSCAR:
```
Ho2MnZn12Cu3
1.0
2.731 1.577 12.003
-2.731 1.577 12.003
0.000 -3.153 12.003
Ho Mn Zn Cu
2 1 12 3
direct
0.145 0.145 0.145 Ho
0.855 0.855 0.855 Ho
0.500 0.500 0.500 Mn
0.106 0.106 0.629 Zn
0.106 0.629 0.106 Zn
0.112 0.611 0.611 Zn
0.371 0.894 0.894 Zn
0.389 0.389 0.888 Zn
0.389 0.888 0.389 Zn
0.611 0.112 0.611 Zn
0.611 0.611 0.112 Zn
0.629 0.106 0.106 Zn
0.888 0.389 0.389 Zn
0.894 0.371 0.894 Zn
0.894 0.894 0.371 Zn
0.000 0.500 0.500 Cu
0.500 0.000 0.500 Cu
0.500 0.500 0.000 Cu
```

=====

2.
VASP calculation (PBE-GGA) on a relaxed structure of Te2RuSe.

Output
symmetry = F-43m, No. 216
E_form (uncorrected) = 0.64 eV per atom

Cell and atoms, written as POSCAR:
```
Te2RuSe
1.0
0.000 3.481 3.481
3.481 0.000 3.481
3.481 3.481 0.000
Te Ru Se
2 1 1
direct
0.000 0.000 0.000 Te
0.250 0.250 0.250 Te
0.750 0.750 0.750 Ru
0.500 0.500 0.500 Se
```

=====

3.
VASP calculation (PBE-GGA) on a relaxed structure of Ta6Nb2Rh.

Output
symmetry = C2/c, No. 15
energy above the lowest structure with this stoichiometry = 0.00 eV/f.u.
energy of formation = 0.10 eV/atom

Cell and atoms, written as POSCAR:
```
Ta6Nb2Rh
1.0
4.912 -6.837 0.000
4.912 6.837 0.000
-0.022 0.000 4.897
Ta Nb Rh
12 4 2
direct
0.006 0.826 0.996 Ta
0.122 0.661 0.496 Ta
0.174 0.994 0.504 Ta
0.197 0.524 0.996 Ta
0.339 0.878 0.004 Ta
0.476 0.803 0.504 Ta
0.524 0.197 0.496 Ta
0.661 0.122 0.996 Ta
0.803 0.476 0.004 Ta
0.826 0.006 0.496 Ta
0.878 0.339 0.504 Ta
0.994 0.174 0.004 Ta
0.204 0.329 0.512 Nb
0.329 0.204 0.012 Nb
0.671 0.796 0.988 Nb
0.796 0.671 0.488 Nb
0.485 0.515 0.250 Rh
0.515 0.485 0.750 Rh
```

=====

4.
VASP calculation (PBE-GGA) on a relaxed structure of La2BeCl.

Output
symmetry = P4/mmm, No. 123
energy above the lowest structure with this stoichiometry = 0.25 eV/f.u.
E_form (uncorrected) = -0.62 eV per atom

Cell and atoms, written as POSCAR:
```
La2BeCl
1.0
3.488 0.000 0.000
0.000 3.488 0.000
0.000 0.000 8.062
La Be Cl
2 1 1
direct
0.000 0.000 0.221 La
0.000 0.000 0.779 La
0.500 0.500 0.000 Be
0.500 0.500 0.500 Cl
```

=====

no.,total moment (μB/f.u.),VASP energy (Ry per atom)
1,1.11,-0.187
2,0.00,-0.303
3,0.00,-0.798
4,0.00,-0.329